A crystal of KAuNF2 relaxed with PBEsol. Source: Alexandria via LeMat-Bulk, functional meta-GGA SCAN.

Properties
DOS(E_F): 0.76 states/eV/cell
size of the total moment: 3.03 μB/f.u.
space group: No. 123

Lattice parameters (Å, degrees): 4.708 4.708 4.851 90.00 90.00 90.00
Site moments in Bohr magnetons follow the coordinates.
Fractional coordinates of all 5 atoms:
K 0.000 0.000 0.000  0.04
F 0.500 0.000 0.000  0.10
F 0.000 0.500 0.000  0.10
N 0.000 0.000 0.500  1.90
Au 0.500 0.500 0.500  0.03



A crystal of K2NiAuF relaxed with PBEsol. Source: Alexandria via LeMat-Bulk, functional meta-GGA SCAN.

Properties
size of the total moment: 0.03 μB/f.u.
space group: No. 123

Lattice parameters (Å, degrees): 3.740 5.437 5.437 90.00 90.00 90.00
Site moments in Bohr magnetons follow the coordinates.
Fractional coordinates of all 5 atoms:
K 0.000 0.500 0.000  0.00
K 0.000 0.000 0.500  0.00
Au 0.500 0.500 0.500  0.00
F 0.000 0.000 0.000  0.00
Ni 0.500 0.000 0.000  -0.11



A crystal of KRb2AuF6 relaxed with PBEsol. Source: Alexandria via LeMat-Bulk, functional meta-GGA SCAN.

Properties
size of the total moment: 2.00 μB/f.u.
space group: No. 225

Lattice parameters (Å, degrees): 6.452 6.452 6.452 60.00 60.00 60.00
Site moments in Bohr magnetons follow the coordinates.
Fractional coordinates of all 10 atoms:
F 0.769 0.769 0.231  0.14
F 0.231 0.231 0.769  0.14
F 0.769 0.231 0.231  0.14
F 0.769 0.231 0.769  0.14
F 0.231 0.769 0.231  0.14
F 0.231 0.769 0.769  0.14
Rb 0.750 0.750 0.750  0.00
Rb 0.250 0.250 0.250  0.00
Au 0.000 0.000 0.000  1.12
K 0.500 0.500 0.500  0.01



A crystal of LaAu2F relaxed with PBEsol. Source: Alexandria via LeMat-Bulk, functional meta-GGA SCAN.

Properties
DOS(E_F): 0.01 states/eV/cell
size of the total moment: 0.00 μB/f.u.
space group: No. 225

Lattice parameters (Å, degrees): 4.893 4.893 4.893 60.00 60.00 60.00
Fractional coordinates of all 4 atoms:
La 0.500 0.500 0.500
Au 0.250 0.250 0.250
Au 0.750 0.750 0.750
F 0.000 0.000 0.000



Values for raw total energy, eV per atom, ordered as above
-18.39 -21.83 -16.26 -47.48
Values for energy relative to the elements, uncorrected, eV/atom, ordered as above
0.38 -0.73 -2.24 -1.24